A plane-wave DFT calculation with PBE was carried out for AlRu after structural relaxation.

Summary:
**Energy**: -6.997 eV per atom
**Magnetic moment**: 0.00 μB per formula unit
**E_form**: -0.4879 eV/atom
**Fermi-level density of states**: 5.26 states/eV per cell
**Space group**: No. 19

a b c (Å): 4.944 4.837 9.456
angles (deg): 90.00 90.00 90.00
Atoms (fractional coordinates):
Al 0.173 0.337 0.057
Al 0.673 0.163 0.943
Al 0.827 0.837 0.443
Al 0.327 0.663 0.557
Al 0.156 0.966 0.799
Al 0.656 0.534 0.201
Al 0.844 0.466 0.701
Al 0.344 0.034 0.299
Ru 0.830 0.670 0.950
Ru 0.330 0.830 0.050
Ru 0.170 0.170 0.550
Ru 0.670 0.330 0.450
Ru 0.347 0.466 0.814
Ru 0.847 0.034 0.186
Ru 0.653 0.966 0.686
Ru 0.153 0.534 0.314


A plane-wave DFT calculation with PBE was carried out for SrNd3Al8 after structural relaxation.

Summary:
**Energy**: -4.257 eV per atom
**Magnetic moment**: 0.00 μB per formula unit
**E_form**: -0.4302 eV/atom
**Fermi-level density of states**: 7.20 states/eV per cell
**Space group**: No. 160

a b c (Å): 5.713 5.713 9.924
angles (deg): 73.27 73.27 60.00
Atoms (fractional coordinates):
Sr 0.875 0.875 0.375
Nd 0.375 0.375 0.875
Nd 0.999 0.999 0.004
Nd 0.501 0.501 0.497
Al 0.941 0.438 0.182
Al 0.434 0.937 0.692
Al 0.438 0.438 0.182
Al 0.937 0.937 0.692
Al 0.188 0.188 0.437
Al 0.687 0.687 0.938
Al 0.438 0.941 0.182
Al 0.937 0.434 0.692


A plane-wave DFT calculation with PBE was carried out for PmTmGe2Pt5 after structural relaxation.

Summary:
**Energy**: -6.287 eV per atom
**Magnetic moment**: 0.00 μB per formula unit
**E_form**: -0.8806 eV/atom
**Fermi-level density of states**: 3.09 states/eV per cell
**Space group**: No. 123

a b c (Å): 4.299 4.299 9.004
angles (deg): 90.00 90.00 90.00
Atoms (fractional coordinates):
Pm 0.000 0.000 0.500
Tm 0.000 0.000 0.000
Ge 0.500 0.500 0.134
Ge 0.500 0.500 0.866
Pt 0.000 0.500 0.268
Pt 0.500 0.000 0.268
Pt 0.000 0.500 0.732
Pt 0.500 0.000 0.732
Pt 0.500 0.500 0.500


A plane-wave DFT calculation with PBE was carried out for NaMoSBr2 after structural relaxation.

Summary:
**Raw formation energy**: -0.500 eV per atom
**Energy**: -4.425 eV per atom
**Magnetic moment**: 2.14 μB per formula unit
**Fermi-level density of states**: 2.66 states/eV per cell
**Space group**: No. 123

a b c (Å): 5.420 4.572 5.420
angles (deg): 90.00 90.00 90.00
Last column: magnetic moment on the atom in μB.
Atoms (fractional coordinates):
Na 0.500 0.500 0.500  0.00
Mo 0.000 0.000 0.000  1.80
S 0.000 0.500 0.000  -0.04
Br 0.000 0.000 0.500  0.03
Br 0.500 0.000 0.000  0.04


A plane-wave DFT calculation with PBE was carried out for Rb2Ge2PdS6 after structural relaxation.

Summary:
**Raw formation energy**: -0.450 eV per atom
**Energy**: -4.189 eV per atom
**Magnetic moment**: 0.00 μB per formula unit
**Fermi-level density of states**: 1.85 states/eV per cell
**Space group**: No. 166

a b c (Å): 6.994 6.994 8.292
angles (deg): 65.05 65.05 60.00
Atoms (fractional coordinates):
Rb 0.779 0.779 0.662
Rb 0.221 0.221 0.338
Ge 0.405 0.405 0.786
Ge 0.595 0.595 0.214
Pd 0.000 0.000 0.000
S 0.768 0.768 0.232
S 0.233 0.768 0.232
S 0.768 0.233 0.232
S 0.232 0.767 0.768
S 0.767 0.232 0.768
S 0.232 0.232 0.768


A plane-wave DFT calculation with PBE was carried out for RbBa3Mo after structural relaxation.

Summary:
**Energy**: -1.587 eV per atom
**Magnetic moment**: 0.00 μB per formula unit
**E_form**: 1.9269 eV/atom
**Fermi-level density of states**: 16.59 states/eV per cell
**Space group**: No. 221

a b c (Å): 6.166 6.166 6.166
angles (deg): 90.00 90.00 90.00
Atoms (fractional coordinates):
Mo 0.500 0.500 0.500
Ba 0.000 0.500 0.000
Ba 0.000 0.000 0.500
Ba 0.500 0.000 0.000
Rb 0.000 0.000 0.000